No. 1
Below is a PBEsol-optimized structure of LiCd2Ag, with properties calculated at the SCAN level.

a = 4.148 Å, b = 4.148 Å, c = 5.067 Å
α = 114.16°, β = 114.16°, γ = 90.00°
Positions (direct):
Cd (0.000, 0.000, 0.000)
Cd (0.750, 0.250, 0.500)
Ag (0.250, 0.750, 0.500)
Li (0.500, 0.500, 0.000)

Computed properties:
Symmetry ... I-4m2 (119)
Final energy ... -23.846 eV/atom
V ... 17.8 A^3/atom
Density of states at the Fermi level ... 0.288 states/eV/atom
Calculated formation energy ... -0.199 eV per atom
Polymorph energy (0 for the lowest one) ... 0.022 eV per atom

No. 2
Below is a PBEsol-optimized structure of LiTe2PbI, with properties calculated at the SCAN level.

a = 5.021 Å, b = 5.021 Å, c = 5.705 Å
α = 90.00°, β = 90.00°, γ = 90.00°
Positions (direct):
Pb (0.500, 0.500, 0.500)
I (0.000, 0.000, 0.500)
Te (0.000, 0.500, 0.000)
Te (0.500, 0.000, 0.000)
Li (0.000, 0.000, 0.000)

Computed properties:
Symmetry ... P4/mmm (123)
Final energy ... -37.974 eV/atom
V ... 28.8 A^3/atom
Density of states at the Fermi level ... 0.558 states/eV/atom
Formation energy from raw total energies ... -0.091 eV/atom
Polymorph energy (0 for the lowest one) ... 0.000 eV per atom

No. 3
Below is a PBEsol-optimized structure of RbWBr2F, with properties calculated at the SCAN level.

a = 4.776 Å, b = 4.776 Å, c = 7.466 Å
α = 90.00°, β = 90.00°, γ = 90.00°
Positions (direct):
Br (0.000, 0.500, 0.000)
Br (0.500, 0.000, 0.000)
Rb (0.000, 0.000, 0.500)
W (0.000, 0.000, 0.000)
F (0.500, 0.500, 0.500)

Computed properties:
Symmetry ... P4/mmm (123)
Final energy ... -26.750 eV/atom
V ... 34.1 A^3/atom
Density of states at the Fermi level ... 0.424 states/eV/atom
Formation energy from raw total energies ... -0.173 eV/atom

No. 4
Below is a PBEsol-optimized structure of Ni2Pt, with properties calculated at the SCAN level.

a = 4.245 Å, b = 4.427 Å, c = 4.447 Å
α = 119.85°, β = 90.00°, γ = 90.00°
Positions (direct):
Ni (0.750, 0.158, 0.660)
Ni (0.250, 0.842, 0.340)
Ni (0.750, 0.498, 0.340)
Ni (0.250, 0.502, 0.660)
Pt (0.750, 0.818, 0.000)
Pt (0.250, 0.182, 0.000)

Computed properties:
Symmetry ... Cmcm (63)
Final energy ... -34.250 eV/atom
V ... 12.1 A^3/atom
Density of states at the Fermi level ... 0.886 states/eV/atom
Calculated formation energy ... -0.070 eV per atom

No. 5
Below is a PBEsol-optimized structure of RbZnHg2, with properties calculated at the SCAN level.

a = 5.417 Å, b = 5.417 Å, c = 5.417 Å
α = 60.00°, β = 60.00°, γ = 60.00°
Positions (direct):
Zn (0.000, 0.000, 0.000)
Hg (0.250, 0.250, 0.250)
Hg (0.750, 0.750, 0.750)
Rb (0.500, 0.500, 0.500)

Computed properties:
Symmetry ... Fm-3m (225)
Final energy ... -42.640 eV/atom
V ... 28.1 A^3/atom
Density of states at the Fermi level ... 0.507 states/eV/atom
Calculated formation energy ... 0.007 eV per atom

No. 6
Below is a PBEsol-optimized structure of CaRuW2, with properties calculated at the SCAN level.

a = 3.144 Å, b = 3.144 Å, c = 7.279 Å
α = 90.00°, β = 90.00°, γ = 90.00°
Positions (direct):
Ca (0.000, 0.000, 0.509)
Ru (0.500, 0.500, 0.801)
W (0.000, 0.000, 0.993)
W (0.500, 0.500, 0.197)

Computed properties:
Symmetry ... P4mm (99)
Final energy ... -45.484 eV/atom
V ... 18.0 A^3/atom
Density of states at the Fermi level ... 0.911 states/eV/atom
Calculated formation energy ... 0.482 eV per atom
Polymorph energy (0 for the lowest one) ... 0.000 eV per atom

No. 7
Below is a PBEsol-optimized structure of Sc2ZnPb, with properties calculated at the SCAN level.

a = 3.249 Å, b = 3.922 Å, c = 6.427 Å
α = 90.00°, β = 90.00°, γ = 90.00°
Positions (direct):
Pb (0.500, 0.500, 0.500)
Sc (0.000, 0.000, 0.766)
Sc (0.000, 0.000, 0.234)
Zn (0.500, 0.500, 0.000)

Computed properties:
Symmetry ... Pmmm (47)
Final energy ... -29.929 eV/atom
V ... 20.5 A^3/atom
Density of states at the Fermi level ... 0.483 states/eV/atom
Calculated formation energy ... -0.486 eV per atom

No. 8
Below is a PBEsol-optimized structure of LiPbI2, with properties calculated at the SCAN level.

a = 6.929 Å, b = 6.929 Å, c = 6.929 Å
α = 110.33°, β = 109.04°, γ = 109.04°
Positions (direct):
Pb (0.000, 0.000, 0.000)
Pb (0.500, 0.750, 0.250)
I (0.947, 0.572, 0.125)
I (0.053, 0.178, 0.625)
I (0.553, 0.375, 0.428)
I (0.447, 0.875, 0.822)
Li (0.000, 0.500, 0.500)
Li (0.500, 0.250, 0.750)

Computed properties:
Symmetry ... I-42d (122)
Final energy ... -38.480 eV/atom
V ... 32.0 A^3/atom
Density of states at the Fermi level ... 0.267 states/eV/atom
Formation energy from raw total energies ... -0.566 eV/atom